Record 1
## GaBSb2I (GGA-PBE)

Data for a relaxed structure of GaBSb2I.

Calculated values
The value obtained for the uncorrected formation energy is 0.75 eV/atom. The offset from the most stable computed form comes out at 0 meV per atom. The uncorrected energy is -3.147 eV/atom. As for the space group: P4/mmm (123).

Cell and atoms, written as extended XYZ:
```
5
Lattice="4.866 0.000 0.000 0.000 4.866 0.000 0.000 0.000 5.333" Properties=species:S:1:pos:R:3 pbc="T T T"
Ga 0.000 0.000 0.000
B 2.433 2.433 2.666
Sb 0.000 2.433 2.666
Sb 2.433 0.000 2.666
I 2.433 2.433 0.000
```

***

Record 2
## GaSnB2I (GGA-PBE)

Data for a relaxed structure of GaSnB2I.

Calculated values
The value obtained for the uncorrected formation energy is 1.29 eV/atom. The uncorrected energy is -3.093 eV/atom. As for the space group: P4/mmm (123).

Cell and atoms, written as extended XYZ:
```
5
Lattice="4.334 0.000 0.000 0.000 4.334 0.000 0.000 0.000 6.133" Properties=species:S:1:pos:R:3 pbc="T T T"
Ga 0.000 0.000 0.000
Sn 0.000 0.000 3.067
B 0.000 2.167 0.000
B 2.167 0.000 0.000
I 2.167 2.167 3.067
```

***

Record 3
## GaTcBI2 (GGA-PBE)

Data for a relaxed structure of GaTcBI2.

Calculated values
The value obtained for the uncorrected formation energy is 1.31 eV/atom. The uncorrected energy is -3.321 eV/atom. As for the space group: P4/mmm (123).

Cell and atoms, written as extended XYZ:
```
5
Lattice="5.884 0.000 0.000 0.000 5.884 0.000 0.000 0.000 3.899" Properties=species:S:1:pos:R:3 pbc="T T T"
Ga 0.000 0.000 0.000
Tc 2.942 2.942 1.950
B 0.000 0.000 1.950
I 0.000 2.942 0.000
I 2.942 0.000 0.000
```

***

Record 4
## GaBTe2I (GGA-PBE)

Data for a relaxed structure of GaBTe2I.

Calculated values
The value obtained for the uncorrected formation energy is 1.17 eV/atom. The offset from the most stable computed form comes out at 567 meV per atom. The uncorrected energy is -2.336 eV/atom. As for the space group: P4/mmm (123).

Cell and atoms, written as extended XYZ:
```
5
Lattice="5.409 0.000 0.000 0.000 5.409 0.000 0.000 0.000 5.637" Properties=species:S:1:pos:R:3 pbc="T T T"
Ga 0.000 0.000 0.000
B 2.704 2.704 2.819
Te 0.000 2.704 0.000
Te 2.704 0.000 0.000
I 0.000 0.000 2.819
```

***

Record 5
## GaBTe2I (GGA-PBE)

Data for a relaxed structure of GaBTe2I.

Calculated values
The value obtained for the uncorrected formation energy is 0.60 eV/atom. The offset from the most stable computed form comes out at 0 meV per atom. The uncorrected energy is -2.904 eV/atom. As for the space group: P4/mmm (123).

Cell and atoms, written as extended XYZ:
```
5
Lattice="4.960 0.000 0.000 0.000 4.960 0.000 0.000 0.000 5.217" Properties=species:S:1:pos:R:3 pbc="T T T"
Ga 0.000 0.000 0.000
B 2.480 2.480 2.609
Te 0.000 2.480 2.609
Te 2.480 0.000 2.609
I 2.480 2.480 0.000
```

***

Record 6
## YGaB2I (GGA-PBE)

Data for a relaxed structure of YGaB2I.

Calculated values
The value obtained for the uncorrected formation energy is 1.60 eV/atom. The uncorrected energy is -3.281 eV/atom. As for the space group: P4/mmm (123).

Cell and atoms, written as extended XYZ:
```
5
Lattice="4.579 0.000 0.000 0.000 4.579 0.000 0.000 0.000 5.373" Properties=species:S:1:pos:R:3 pbc="T T T"
Y 0.000 0.000 0.000
Ga 2.289 2.289 0.000
B 0.000 2.289 2.687
B 2.289 0.000 2.687
I 2.289 2.289 2.687
```

***

Record 7
## In2Ga2B (GGA-PBE)

Data for a relaxed structure of In2Ga2B.

Calculated values
The energy relative to the elements comes out at 0.72 eV/atom. The offset from the most stable computed form comes out at 124 meV per atom. The uncorrected energy is -2.919 eV/atom. As for the space group: I4/mmm (139).

Cell and atoms, written as extended XYZ:
```
5
Lattice="-1.781 1.781 8.237 1.781 -1.781 8.237 1.781 1.781 -8.237" Properties=species:S:1:pos:R:3 pbc="T T T"
In 0.000 0.000 1.462
In 0.000 0.000 15.012
Ga 1.781 0.000 4.119
Ga 0.000 1.781 4.119
B 0.000 0.000 8.237
```

***

Record 8
## InGaB2 (GGA-PBE)

Data for a relaxed structure of InGaB2.

Calculated values
The energy relative to the elements comes out at 1.38 eV/atom. The offset from the most stable computed form comes out at 524 meV per atom. The uncorrected energy is -3.402 eV/atom. As for the space group: Fm-3m (225).

Cell and atoms, written as extended XYZ:
```
4
Lattice="0.000 3.048 3.048 3.048 0.000 3.048 3.048 3.048 0.000" Properties=species:S:1:pos:R:3 pbc="T T T"
In 0.000 0.000 0.000
Ga 3.048 3.048 3.048
B 1.524 1.524 1.524
B 4.572 4.572 4.572
```

***

Record 9
## In2GaB2 (GGA-PBE)

Data for a relaxed structure of In2GaB2.

Calculated values
The energy relative to the elements comes out at 0.74 eV/atom. The offset from the most stable computed form comes out at 36 meV per atom. The uncorrected energy is -3.631 eV/atom. As for the space group: P4/mbm (127).

Cell and atoms, written as extended XYZ:
```
10
Lattice="6.510 0.000 0.000 0.000 6.510 0.000 0.000 0.000 3.805" Properties=species:S:1:pos:R:3 pbc="T T T"
In 1.327 1.928 0.000
In 1.928 5.183 0.000
In 4.583 1.327 0.000
In 5.183 4.583 0.000
Ga 0.000 0.000 1.903
Ga 3.255 3.255 1.903
B 0.581 3.836 1.903
B 2.674 0.581 1.903
B 3.836 5.929 1.903
B 5.929 2.674 1.903
```

***

Record 10
## InGa3B (GGA-PBE)

Data for a relaxed structure of InGa3B.

Calculated values
The energy relative to the elements comes out at 0.38 eV/atom. The offset from the most stable computed form comes out at 0 meV per atom. The uncorrected energy is -3.322 eV/atom. As for the space group: Pm-3m (221).

Cell and atoms, written as extended XYZ:
```
5
Lattice="4.509 0.000 0.000 0.000 4.509 0.000 0.000 0.000 4.509" Properties=species:S:1:pos:R:3 pbc="T T T"
In 0.000 0.000 0.000
Ga 0.000 2.254 2.254
Ga 2.254 0.000 2.254
Ga 2.254 2.254 0.000
B 2.254 2.254 2.254
```

***

Record 11
## InGa2B (GGA-PBE)

Data for a relaxed structure of InGa2B.

Calculated values
The energy relative to the elements comes out at 0.37 eV/atom. The offset from the most stable computed form comes out at 0 meV per atom. The uncorrected energy is -3.498 eV/atom. As for the space group: I-42d (122).

Cell and atoms, written as extended XYZ:
```
8
Lattice="-3.034 3.034 4.553 3.034 -3.034 4.553 3.034 3.034 -4.553" Properties=species:S:1:pos:R:3 pbc="T T T"
In 0.000 0.000 0.000
In 0.000 3.034 2.276
Ga 1.517 -0.767 3.414
Ga 2.267 1.517 1.138
Ga 1.517 3.802 -1.138
Ga 0.767 1.517 5.691
B 3.034 0.000 2.276
B 0.000 0.000 4.553
```

***

Record 12
## In2Ga2B (GGA-PBE)

Data for a relaxed structure of In2Ga2B.

Calculated values
The energy relative to the elements comes out at 0.60 eV/atom. The offset from the most stable computed form comes out at 0 meV per atom. The uncorrected energy is -3.043 eV/atom. As for the space group: P4/mbm (127).

Cell and atoms, written as extended XYZ:
```
10
Lattice="6.351 0.000 0.000 0.000 6.351 0.000 0.000 0.000 5.279" Properties=species:S:1:pos:R:3 pbc="T T T"
In 1.039 2.137 0.000
In 2.137 5.312 0.000
In 4.214 1.039 0.000
In 5.312 4.214 0.000
Ga 1.007 4.183 2.640
Ga 2.168 1.007 2.640
Ga 4.183 5.343 2.640
Ga 5.343 2.168 2.640
B 0.000 0.000 0.000
B 3.175 3.175 0.000
```

***

Record 13
## In2GaB2 (GGA-PBE)

Data for a relaxed structure of In2GaB2.

Calculated values
The energy relative to the elements comes out at 0.70 eV/atom. The offset from the most stable computed form comes out at 0 meV per atom. The uncorrected energy is -3.667 eV/atom. As for the space group: I4/mmm (139).

Cell and atoms, written as extended XYZ:
```
5
Lattice="-2.139 2.139 4.624 2.139 -2.139 4.624 2.139 2.139 -4.624" Properties=species:S:1:pos:R:3 pbc="T T T"
In 2.139 0.000 2.312
In 0.000 2.139 2.312
Ga 0.000 0.000 0.000
B 0.000 0.000 3.798
B 0.000 0.000 5.450
```

***

Record 14
## InGa3B (GGA-PBE)

Data for a relaxed structure of InGa3B.

Calculated values
The energy relative to the elements comes out at 1.44 eV/atom. The offset from the most stable computed form comes out at 1062 meV per atom. The uncorrected energy is -2.260 eV/atom. As for the space group: Pm-3m (221).

Cell and atoms, written as extended XYZ:
```
5
Lattice="5.251 0.000 0.000 0.000 5.251 0.000 0.000 0.000 5.251" Properties=species:S:1:pos:R:3 pbc="T T T"
In 0.000 0.000 0.000
Ga 0.000 0.000 2.626
Ga 0.000 2.626 0.000
Ga 2.626 0.000 0.000
B 2.626 2.626 2.626
```

***

Record 15
## InGa2B (GGA-PBE)

Data for a relaxed structure of InGa2B.

Calculated values
The energy relative to the elements comes out at 0.89 eV/atom. The offset from the most stable computed form comes out at 521 meV per atom. The uncorrected energy is -2.977 eV/atom. As for the space group: Fm-3m (225).

Cell and atoms, written as extended XYZ:
```
4
Lattice="0.000 3.318 3.318 3.318 0.000 3.318 3.318 3.318 0.000" Properties=species:S:1:pos:R:3 pbc="T T T"
In 0.000 0.000 0.000
Ga 1.659 1.659 1.659
Ga 4.977 4.977 4.977
B 3.318 3.318 3.318
```

***

Record 16
## InGaB2 (GGA-PBE)

Data for a relaxed structure of InGaB2.

Calculated values
The energy relative to the elements comes out at 0.85 eV/atom. The offset from the most stable computed form comes out at 0 meV per atom. The uncorrected energy is -3.926 eV/atom. As for the space group: I-42d (122).

Cell and atoms, written as extended XYZ:
```
8
Lattice="-2.094 2.094 6.732 2.094 -2.094 6.732 2.094 2.094 -6.732" Properties=species:S:1:pos:R:3 pbc="T T T"
In 0.000 0.000 0.000
In 0.000 2.094 3.366
Ga 2.094 0.000 3.366
Ga 0.000 0.000 6.732
B 1.047 -0.628 5.049
B 1.466 1.047 1.683
B 1.047 2.723 -1.683
B 0.628 1.047 8.415
```

***

Record 17
## In2GaBIr (GGA-PBE)

Data for a relaxed structure of In2GaBIr.

Calculated values
The energy relative to the elements comes out at 0.68 eV/atom. The uncorrected energy is -4.125 eV/atom. As for the space group: P4/mmm (123).

Cell and atoms, written as extended XYZ:
```
5
Lattice="4.821 0.000 0.000 0.000 4.821 0.000 0.000 0.000 3.852" Properties=species:S:1:pos:R:3 pbc="T T T"
In 0.000 2.410 0.000
In 2.410 0.000 0.000
Ga 0.000 0.000 1.926
B 0.000 0.000 0.000
Ir 2.410 2.410 1.926
```

***

Record 18
## In2GaB2Ir5 (GGA-PBE)

Data for a relaxed structure of In2GaB2Ir5.

Calculated values
The energy relative to the elements comes out at -0.18 eV/atom. The uncorrected energy is -6.794 eV/atom. As for the space group: P4/mbm (127).

Cell and atoms, written as extended XYZ:
```
20
Lattice="9.617 0.000 0.000 0.000 9.617 0.000 0.000 0.000 3.026" Properties=species:S:1:pos:R:3 pbc="T T T"
In 1.698 3.110 0.000
In 3.110 7.919 0.000
In 6.506 1.698 0.000
In 7.919 6.506 0.000
Ga 0.000 0.000 0.000
Ga 4.808 4.808 0.000
B 1.197 6.006 0.000
B 3.611 1.197 0.000
B 6.006 8.419 0.000
B 8.419 3.611 0.000
Ir 0.000 4.808 1.513
Ir 0.695 7.540 1.513
Ir 2.076 0.695 1.513
Ir 2.732 5.504 1.513
Ir 4.113 2.732 1.513
Ir 4.808 0.000 1.513
Ir 5.504 6.885 1.513
Ir 6.885 4.113 1.513
Ir 7.540 8.922 1.513
Ir 8.922 2.076 1.513
```

***

Record 19
## InGa2BMo (GGA-PBE)

Data for a relaxed structure of InGa2BMo.

Calculated values
The energy relative to the elements comes out at 0.95 eV/atom. The uncorrected energy is -4.306 eV/atom. As for the space group: P4/mmm (123).

Cell and atoms, written as extended XYZ:
```
5
Lattice="4.305 0.000 0.000 0.000 4.305 0.000 0.000 0.000 4.810" Properties=species:S:1:pos:R:3 pbc="T T T"
In 0.000 0.000 0.000
Ga 0.000 2.153 2.405
Ga 2.153 0.000 2.405
B 0.000 0.000 2.405
Mo 2.153 2.153 0.000
```

***

Record 20
## InGaReB2 (GGA-PBE)

Data for a relaxed structure of InGaReB2.

Calculated values
The energy relative to the elements comes out at 2.08 eV/atom. The uncorrected energy is -4.233 eV/atom. As for the space group: P4/mmm (123).

Cell and atoms, written as extended XYZ:
```
5
Lattice="3.946 0.000 0.000 0.000 3.946 0.000 0.000 0.000 5.485" Properties=species:S:1:pos:R:3 pbc="T T T"
In 0.000 0.000 0.000
Ga 0.000 0.000 2.742
Re 1.973 1.973 0.000
B 0.000 1.973 2.742
B 1.973 0.000 2.742
```

***

Record 21
## In2GaB2Rh5 (GGA-PBE)

Data for a relaxed structure of In2GaB2Rh5.

Calculated values
The energy relative to the elements comes out at -0.43 eV/atom. The uncorrected energy is -6.287 eV/atom. As for the space group: P4/mbm (127).

Cell and atoms, written as extended XYZ:
```
20
Lattice="9.556 0.000 0.000 0.000 9.556 0.000 0.000 0.000 2.993" Properties=species:S:1:pos:R:3 pbc="T T T"
In 1.678 3.100 0.000
In 3.100 7.878 0.000
In 6.457 1.678 0.000
In 7.878 6.457 0.000
Ga 0.000 0.000 0.000
Ga 4.778 4.778 0.000
B 1.198 5.976 0.000
B 3.580 1.198 0.000
B 5.976 8.358 0.000
B 8.358 3.580 0.000
Rh 0.000 4.778 1.497
Rh 0.700 7.498 1.497
Rh 2.059 0.700 1.497
Rh 2.720 5.479 1.497
Rh 4.078 2.720 1.497
Rh 4.778 0.000 1.497
Rh 5.479 6.837 1.497
Rh 6.837 4.078 1.497
Rh 7.498 8.856 1.497
Rh 8.856 2.059 1.497
```

***

Record 22
## InGa2BSe (GGA-PBE)

Data for a relaxed structure of InGa2BSe.

Calculated values
The value obtained for the uncorrected formation energy is 0.35 eV/atom. The uncorrected energy is -3.438 eV/atom. As for the space group: P4/mmm (123).

Cell and atoms, written as extended XYZ:
```
5
Lattice="4.465 0.000 0.000 0.000 4.465 0.000 0.000 0.000 4.847" Properties=species:S:1:pos:R:3 pbc="T T T"
In 0.000 0.000 0.000
Ga 0.000 2.233 2.424
Ga 2.233 0.000 2.424
B 2.233 2.233 2.424
Se 2.233 2.233 0.000
```

***

Record 23
## InGaSn2B (GGA-PBE)

Data for a relaxed structure of InGaSn2B.

Calculated values
The energy relative to the elements comes out at 1.02 eV/atom. The uncorrected energy is -3.074 eV/atom. As for the space group: P4/mmm (123).

Cell and atoms, written as extended XYZ:
```
5
Lattice="5.898 0.000 0.000 0.000 5.898 0.000 0.000 0.000 4.123" Properties=species:S:1:pos:R:3 pbc="T T T"
In 0.000 0.000 0.000
Ga 2.949 2.949 2.061
Sn 0.000 2.949 0.000
Sn 2.949 0.000 0.000
B 0.000 0.000 2.061
```

***

Record 24
## GaBIr2 (GGA-PBE)

Data for a relaxed structure of GaBIr2.

Calculated values
The energy relative to the elements comes out at -0.15 eV/atom. The offset from the most stable computed form comes out at 145 meV per atom. The uncorrected energy is -7.006 eV/atom. As for the space group: R3m (160).

Cell and atoms, written as extended XYZ:
```
4
Lattice="1.498 0.865 6.716 -1.498 0.865 6.716 0.000 -1.729 6.716" Properties=species:S:1:pos:R:3 pbc="T T T"
Ga 0.000 0.000 0.000
B 0.000 0.000 3.346
Ir 0.000 0.000 11.399
Ir 0.000 0.000 15.432
```

***

Record 25
## Ga2BIr5 (GGA-PBE)

Data for a relaxed structure of Ga2BIr5.

Calculated values
The energy relative to the elements comes out at -0.14 eV/atom. The uncorrected energy is -7.268 eV/atom. As for the space group: Pbam (55).

Cell and atoms, written as extended XYZ:
```
16
Lattice="5.400 0.000 0.000 0.000 9.856 0.000 0.000 0.000 4.046" Properties=species:S:1:pos:R:3 pbc="T T T"
Ga 0.699 1.387 0.000
Ga 2.001 6.315 0.000
Ga 3.399 3.541 0.000
Ga 4.701 8.469 0.000
B 0.000 4.928 2.023
B 2.700 0.000 2.023
Ir 0.000 0.000 2.023
Ir 0.681 7.066 2.023
Ir 0.872 3.924 0.000
Ir 1.828 8.853 0.000
Ir 2.019 2.137 2.023
Ir 2.700 4.928 2.023
Ir 3.381 7.719 2.023
Ir 3.572 1.004 0.000
Ir 4.528 5.932 0.000
Ir 4.719 2.791 2.023
```

***

| no. | total magnetic moment (μB/f.u.) |
| --- | --- |
| 1 | 0.0 |
| 2 | 0.0 |
| 3 | 3.5 |
| 4 | 0.0 |
| 5 | 0.0 |
| 6 | 0.0 |
| 7 | 0.0 |
| 8 | 0.0 |
| 9 | 0.0 |
| 10 | 0.0 |
| 11 | 0.0 |
| 12 | 0.0 |
| 13 | 0.0 |
| 14 | 0.0 |
| 15 | 0.0 |
| 16 | 0.0 |
| 17 | 0.0 |
| 18 | 0.0 |
| 19 | 2.8 |
| 20 | 0.0 |
| 21 | 0.0 |
| 22 | 0.0 |
| 23 | 0.0 |
| 24 | 0.0 |
| 25 | 0.0 |